# 1
MgSeS2 | Alexandria | PBE | relaxed; formation energy (no corrections) = -1.8 eV per formula unit; D(E_F) = 0.47 states/eV/cell
1.0
4.053 0.593 -0.720
0.727 3.921 -1.679
-1.834 -1.159 15.428
Mg Se S
2 2 4
Cartesian
2.414 2.882 7.094
0.532 0.473 5.935
0.761 1.415 8.433
2.185 1.941 4.597
1.652 0.940 12.571
1.294 2.415 0.458
-0.675 -0.344 13.705
3.621 3.700 -0.675

***

# 2
MgSe2S | Alexandria | PBE | relaxed; formation energy (no corrections) = 0.9 eV per formula unit; D(E_F) = 5.27 states/eV/cell
1.0
0.000 3.401 3.401
3.401 0.000 3.401
3.401 3.401 0.000
S Mg Se
1 1 2
Cartesian
3.401 3.401 3.401
0.000 0.000 0.000
1.700 1.700 1.700
5.101 5.101 5.101